No. 1
Density functional theory data (PBE) for a relaxed structure of Cs2KNaF.

The offset from the most stable computed form is 0 meV per atom.

Unit cell a=6.369 b=6.369 c=5.966 alpha=90.00 beta=90.00 gamma=90.00
Atoms (fractional coordinates):
Cs1 0.000 0.500 0.000
Cs2 0.500 0.000 0.000
Na1 0.500 0.500 0.500
K1 0.000 0.000 0.500
F1 0.000 0.000 0.000

No. 2
Density functional theory data (PBE) for a relaxed structure of Cs2KNaF.

The offset from the most stable computed form is 58 meV per atom.

Unit cell a=5.864 b=5.864 c=8.204 alpha=90.00 beta=90.00 gamma=90.00
Atoms (fractional coordinates):
Cs1 0.000 0.500 0.000
Cs2 0.500 0.000 0.000
Na1 0.000 0.000 0.500
K1 0.500 0.500 0.500
F1 0.000 0.000 0.000

No. 3
Density functional theory data (PBE) for a relaxed structure of CsK2NaF.

The offset from the most stable computed form is 0 meV per atom.

Unit cell a=5.816 b=5.816 c=6.450 alpha=90.00 beta=90.00 gamma=90.00
Atoms (fractional coordinates):
Cs1 0.000 0.000 0.500
Na1 0.500 0.500 0.500
K1 0.000 0.500 0.000
K2 0.500 0.000 0.000
F1 0.000 0.000 0.000

No. 4
Density functional theory data (PBE) for a relaxed structure of Cs2KNaF4.

Unit cell a=7.913 b=7.913 c=7.952 alpha=120.08 beta=120.08 gamma=89.39
Atoms (fractional coordinates):
Cs1 0.500 0.000 0.000
Cs2 0.500 0.000 0.500
Cs3 0.000 0.000 0.500
Cs4 0.500 0.500 0.000
K1 0.500 0.500 0.500
K2 0.000 0.000 0.000
Na1 0.000 0.500 0.000
Na2 0.000 0.500 0.500
F1 0.210 0.726 0.970
F2 0.774 0.290 0.530
F3 0.226 0.710 0.469
F4 0.790 0.274 0.031
F5 0.773 0.726 0.981
F6 0.774 0.727 0.519
F7 0.226 0.273 0.481
F8 0.227 0.274 0.019

No. 5
Density functional theory data (PBE) for a relaxed structure of CsKNa2F.

Unit cell a=5.997 b=5.997 c=5.807 alpha=90.00 beta=90.00 gamma=90.00
Atoms (fractional coordinates):
Cs1 0.000 0.000 0.500
Na1 0.000 0.500 0.000
Na2 0.500 0.000 0.000
K1 0.500 0.500 0.500
F1 0.000 0.000 0.000

No. 6
Density functional theory data (PBE) for a relaxed structure of CsKNa2F4.

Unit cell a=7.453 b=7.453 c=7.423 alpha=119.91 beta=119.91 gamma=90.13
Atoms (fractional coordinates):
Cs1 0.000 0.500 0.000
Cs2 0.000 0.500 0.500
K1 0.500 0.500 0.500
K2 0.000 0.000 0.000
Na1 0.500 0.000 0.000
Na2 0.500 0.000 0.500
Na3 0.000 0.000 0.500
Na4 0.500 0.500 0.000
F1 0.300 0.782 0.041
F2 0.718 0.200 0.459
F3 0.282 0.800 0.541
F4 0.700 0.218 0.959
F5 0.732 0.770 0.019
F6 0.730 0.768 0.481
F7 0.270 0.232 0.519
F8 0.268 0.230 0.981

no.,uncorrected formation energy (eV/atom),final energy (eV/atom)
1,-0.99,-2.188
2,-0.93,-2.130
3,-0.99,-2.235
4,-2.61,-4.060
5,-0.82,-2.111
6,-2.61,-4.123